[1]
Below is a geometry-optimized BeS2IN structure, with properties calculated at the PBE-GGA level.

Its energy above the most stable polymorph in this dataset is 860 meV/atom. The volume is 103.8 Å³ per cell. The calculated density comes out at 3.4 g cm⁻³. The value obtained for the raw total energy is -2.68 eV/atom. The magnetic moment is 0.00 Bohr magnetons per cell. The density of states at the Fermi level is 2.312 states/eV/cell. The uncorrected formation energy is 1.69 eV/atom.

The structure belongs to space group P4/mmm (No. 123); the cell edges are 5.161, 5.161 and 3.896 Å and the angles 90.00°, 90.00° and 90.00°. The inequivalent atoms are Be at (0.000, 0.000, 0.000), S at (0.000, 0.500, 0.500), I at (0.500, 0.500, 0.500) and N at (0.500, 0.500, 0.000).

---

[2]
Below is a geometry-optimized BeSIN2 structure, with properties calculated at the PBE-GGA level.

Its energy above the most stable polymorph in this dataset is 556 meV/atom. The volume is 92.4 Å³ per cell. The calculated density comes out at 3.5 g cm⁻³. The value obtained for the raw total energy is -3.22 eV/atom. The magnetic moment is 0.00 Bohr magnetons per cell. The density of states at the Fermi level is 0.774 states/eV/cell. The uncorrected formation energy is 1.99 eV/atom.

The structure belongs to space group P4/mmm (No. 123); the cell edges are 3.845, 3.845 and 6.252 Å and the angles 90.00°, 90.00° and 90.00°. The inequivalent atoms are Be at (0.000, 0.000, 0.000), S at (0.500, 0.500, 0.000), I at (0.500, 0.500, 0.500) and N at (0.000, 0.500, 0.500).

---

[3]
Below is a geometry-optimized BeSIN2 structure, with properties calculated at the PBE-GGA level.

Its energy above the most stable polymorph in this dataset is 82 meV/atom. The volume is 86.8 Å³ per cell. The calculated density comes out at 3.7 g cm⁻³. The value obtained for the raw total energy is -3.69 eV/atom. The magnetic moment is 0.00 Bohr magnetons per cell. The density of states at the Fermi level is 2.055 states/eV/cell. The uncorrected formation energy is 1.52 eV/atom.

The structure belongs to space group P4/mmm (No. 123); the cell edges are 3.520, 3.520 and 7.007 Å and the angles 90.00°, 90.00° and 90.00°. The inequivalent atoms are Be at (0.000, 0.000, 0.000), S at (0.500, 0.500, 0.500), I at (0.500, 0.500, 0.000) and N at (0.000, 0.500, 0.500).

---

[4]
Below is a geometry-optimized BeS2IN structure, with properties calculated at the PBE-GGA level.

Its energy above the most stable polymorph in this dataset is 0 meV/atom. The volume is 80.4 Å³ per cell. The calculated density comes out at 4.4 g cm⁻³. The value obtained for the raw total energy is -3.54 eV/atom. The magnetic moment is 1.59 Bohr magnetons per cell. The density of states at the Fermi level is 3.136 states/eV/cell. The uncorrected formation energy is 0.83 eV/atom.

The structure belongs to space group P4/mmm (No. 123); the cell edges are 4.859, 4.859 and 3.407 Å and the angles 90.00°, 90.00° and 90.00°. The inequivalent atoms are Be at (0.000, 0.000, 0.000), S at (0.000, 0.500, 0.000), I at (0.500, 0.500, 0.500) and N at (0.000, 0.000, 0.500).

---

[5]
Below is a geometry-optimized BeSbI2N structure, with properties calculated at the PBE-GGA level.

Its energy above the most stable polymorph in this dataset is 0 meV/atom. The volume is 143.3 Å³ per cell. The calculated density comes out at 4.6 g cm⁻³. The value obtained for the raw total energy is -3.40 eV/atom. The magnetic moment is 1.06 Bohr magnetons per cell. The density of states at the Fermi level is 3.036 states/eV/cell. The uncorrected formation energy is 0.45 eV/atom.

The structure belongs to space group P4/mmm (No. 123); the cell edges are 6.876, 6.876 and 3.031 Å and the angles 90.00°, 90.00° and 90.00°. The inequivalent atoms are Be at (0.000, 0.000, 0.000), Sb at (0.500, 0.500, 0.500), I at (0.000, 0.500, 0.000) and N at (0.000, 0.000, 0.500).

---

[6]
Below is a geometry-optimized BeSbIN2 structure, with properties calculated at the PBE-GGA level.

Its energy above the most stable polymorph in this dataset is 0 meV/atom. The volume is 117.7 Å³ per cell. The calculated density comes out at 4.0 g cm⁻³. The value obtained for the raw total energy is -3.76 eV/atom. The magnetic moment is 1.00 Bohr magnetons per cell. The density of states at the Fermi level is 1.675 states/eV/cell. The uncorrected formation energy is 1.45 eV/atom.

The structure belongs to space group P4/mmm (No. 123); the cell edges are 3.989, 3.989 and 7.397 Å and the angles 90.00°, 90.00° and 90.00°. The inequivalent atoms are Be at (0.000, 0.000, 0.000), Sb at (0.500, 0.500, 0.500), I at (0.500, 0.500, 0.000) and N at (0.000, 0.500, 0.500).

---

What is the raw total energy in the second record? -3.22 eV/atom